Density functional theory data (PBE+U) for AcV2SeO8 after structural relaxation.

abc: 5.017 5.017 8.031
angles: 71.80 71.80 60.00
Fractional positions:
O1 0.324 0.324 0.028
V1 0.247 0.247 0.259
O2 0.112 0.771 0.686
V2 0.753 0.753 0.741
O3 0.676 0.676 0.972
O4 0.888 0.568 0.314
O5 0.229 0.888 0.314
O6 0.568 0.229 0.314
O7 0.771 0.432 0.686
Ac1 0.000 0.000 0.000
Se1 0.500 0.500 0.500
O8 0.432 0.112 0.686

Computed properties:
The calculation puts the total magnetization at 1.028 μB per cell. The space group is R32, No. 155. As for the crystal system: trigonal. The electronic total energy comes out at -82.46 eV/f.u.